Compound: Cs2TePt2
Source: Alexandria via LeMat-Bulk
Functional: PBE
Structure: relaxed

Lattice parameters (Å, degrees): 7.199 7.199 5.847 90.00 90.00 90.00
Positions (direct):
1 Cs 0.180 0.320 0.000
2 Cs 0.320 0.820 0.000
3 Cs 0.680 0.180 0.000
4 Cs 0.820 0.680 0.000
5 Te 0.000 0.000 0.500
6 Te 0.500 0.500 0.500
7 Pt 0.130 0.630 0.500
8 Pt 0.370 0.130 0.500
9 Pt 0.630 0.870 0.500
10 Pt 0.870 0.370 0.500

Properties
* total energy: -3.55 eV/atom